(1)
This record from Alexandria describes a relaxed LaAs2Au2 crystal. The functional is PBE.

Lattice parameters (Å, degrees): 12.632 12.632 4.166 90.00 90.00 160.90
Sites, in units of the cell vectors:
1 La 0.154 0.846 0.750
2 La 0.846 0.154 0.250
3 As 0.250 0.750 0.250
4 As 0.385 0.615 0.750
5 As 0.615 0.385 0.250
6 As 0.750 0.250 0.750
7 Au 0.045 0.955 0.250
8 Au 0.458 0.542 0.250
9 Au 0.542 0.458 0.750
10 Au 0.955 0.045 0.750

## Properties
formation energy	-639	meV/atom
DFT total energy	-4.796	eV/atom
D(E_F)	1.97	states/eV/f.u.
mass density	10.42	g/cm3

***

(2)
This record from Alexandria describes a relaxed BPb4O5 crystal. The functional is PBE.

Lattice parameters (Å, degrees): 6.512 6.512 6.512 95.93 95.93 142.52
Sites, in units of the cell vectors:
1 B 0.000 0.000 0.000
2 Pb 0.270 0.464 0.650
3 Pb 0.464 0.814 0.195
4 Pb 0.620 0.270 0.805
5 Pb 0.814 0.620 0.350
6 O 0.227 0.235 0.284
7 O 0.235 0.951 0.008
8 O 0.662 0.662 0.000
9 O 0.943 0.227 0.992
10 O 0.951 0.943 0.716

## Properties
DFT total energy	-5.542	eV/atom
D(E_F)	3.15	states/eV/f.u.
mass density	9.60	g/cm3

***

(3)
This record from Alexandria describes a relaxed CeAl11Ru crystal. The functional is PBE.

Lattice parameters (Å, degrees): 6.848 6.848 7.168 97.74 97.74 135.14
Sites, in units of the cell vectors:
1 Ce 0.000 0.000 0.000
2 Al 0.000 0.000 0.500
3 Al 0.000 0.500 0.000
4 Al 0.016 0.363 0.359
5 Al 0.283 0.500 0.775
6 Al 0.363 0.016 0.359
7 Al 0.500 0.000 0.000
8 Al 0.500 0.283 0.775
9 Al 0.500 0.717 0.225
10 Al 0.637 0.984 0.641
11 Al 0.717 0.500 0.225
12 Al 0.984 0.637 0.641
13 Ru 0.500 0.500 0.500

## Properties
formation energy	-290	meV/atom
DFT total energy	-4.626	eV/atom
D(E_F)	8.67	states/eV/f.u.
mass density	4.03	g/cm3

***

(4)
This record from Alexandria describes a relaxed TaFeAu crystal. The functional is PBE.

Lattice parameters (Å, degrees): 6.452 6.452 6.452 155.01 155.01 35.64
Sites, in units of the cell vectors:
1 Ta 0.000 0.000 0.000
2 Fe 0.660 0.660 0.000
3 Au 0.320 0.320 0.000

## Properties
formation energy	100	meV/atom
DFT total energy	-7.764	eV/atom
D(E_F)	2.76	states/eV/f.u.
mass density	15.04	g/cm3
relative energy among the computed polymorphs	0.123	eV per atom

***

(5)
This record from Alexandria describes a relaxed MgFeAgB2 crystal. The functional is PBE.

Lattice parameters (Å, degrees): 3.871 3.871 4.587 90.00 90.00 90.00
Sites, in units of the cell vectors:
1 Mg 0.000 0.000 0.000
2 Fe 0.000 0.000 0.500
3 Ag 0.500 0.500 0.000
4 B 0.000 0.500 0.500
5 B 0.500 0.000 0.500

## Properties
formation energy	762	meV/atom
DFT total energy	-4.490	eV/atom
D(E_F)	2.14	states/eV/f.u.
mass density	5.06	g/cm3

***

(6)
This record from Alexandria describes a relaxed AgPb2 crystal. The functional is PBE.

Lattice parameters (Å, degrees): 3.644 5.064 5.095 61.34 87.86 87.67
Sites, in units of the cell vectors:
1 Ag 0.000 0.000 0.000
2 Pb 0.252 0.331 0.329
3 Pb 0.748 0.669 0.671

## Properties
formation energy	111	meV/atom
DFT total energy	-3.312	eV/atom
D(E_F)	1.37	states/eV/f.u.
mass density	10.52	g/cm3

***

> Which value of mass density does entry 1 give?

10.42 g/cm3

***

> What is the formula in the first record?

LaAs2Au2

***

> Which formula does entry 1 have?

LaAs2Au2